Density functional theory data (PBE-GGA) for a relaxed structure of Pm2NO.

The structure belongs to space group R3m (No. 160, hexagonal axes); the cell edges are 3.5043, 3.5043 and 18.4274 Å and the angles 90.00°, 90.00° and 120.00°. The asymmetric unit holds Pm at (0.0000, 0.0000, 0.0000), Pm at (0.0000, 0.0000, 0.1783), N at (0.0000, 0.0000, 0.5904) and O at (0.0000, 0.0000, 0.4204).

Its density of states at the Fermi level is 0.38 states/eV/atom. The value obtained for the formation energy (no corrections) is -2062.4 meV per atom. The value obtained for the energy is -7.76 eV per atom. The total magnetic moment comes out at 0.0 μB per formula unit.



Density functional theory data (PBE-GGA) for a relaxed structure of Pm4N2O.

The structure belongs to space group C2/m (No. 12); the cell edges are 13.5415, 3.5239 and 6.1918 Å and the angles 90.00°, 115.93° and 90.00°. The asymmetric unit holds Pm at (0.1324, 0.0000, 0.2944), Pm at (0.1350, 0.5000, 0.8142), N at (0.2457, 0.0000, 0.7380) and O at (0.0000, 0.5000, 0.0000).

Its density of states at the Fermi level is 0.64 states/eV/atom. The value obtained for the formation energy (no corrections) is -1583.8 meV per atom. The value obtained for the energy is -7.39 eV per atom. The total magnetic moment comes out at 0.0 μB per formula unit.



Density functional theory data (PBE-GGA) for a relaxed structure of Pm8N2O.

The structure belongs to space group C2/m (No. 12); the cell edges are 12.5310, 7.3446 and 6.2464 Å and the angles 90.00°, 108.50° and 90.00°. The asymmetric unit holds Pm at (0.1280, 0.0000, 0.2592), Pm at (0.1300, 0.5000, 0.2182), Pm at (0.1311, 0.2395, 0.7598), N at (0.2489, 0.0000, 0.0120) and O at (0.0000, 0.0000, 0.5000).

Its density of states at the Fermi level is 1.19 states/eV/atom. The value obtained for the formation energy (no corrections) is -953.5 meV per atom. The value obtained for the energy is -6.37 eV per atom. The total magnetic moment comes out at 0.8 μB per formula unit.



Density functional theory data (PBE-GGA) for a relaxed structure of PmN2O2.

The structure belongs to space group C2/m (No. 12); the cell edges are 6.5001, 3.7279 and 9.3224 Å and the angles 90.00°, 108.11° and 90.00°. The asymmetric unit holds Pm at (0.0000, 0.0000, 0.0000), N at (0.0178, 0.5000, 0.4453) and O at (0.2162, 0.5000, 0.1072).

Its density of states at the Fermi level is 0.42 states/eV/atom. The value obtained for the formation energy (no corrections) is -1372.4 meV per atom. The value obtained for the energy is -7.64 eV per atom. The total magnetic moment comes out at 1.0 μB per formula unit.



Density functional theory data (PBE-GGA) for a relaxed structure of Pm5N4O.

The structure belongs to space group Immm (No. 71); the cell edges are 3.5980, 5.0850 and 18.0093 Å and the angles 90.00°, 90.00° and 90.00°. The asymmetric unit holds Pm at (0.0000, 0.0000, 0.0000), Pm at (0.0000, 0.0000, 0.1998), Pm at (0.0000, 0.0000, 0.3964), N at (0.0000, 0.5000, 0.1968), N at (0.0000, 0.5000, 0.4017) and O at (0.0000, 0.5000, 0.0000).

Its density of states at the Fermi level is 0.19 states/eV/atom. The value obtained for the formation energy (no corrections) is -1774.4 meV per atom. The value obtained for the energy is -7.98 eV per atom. The total magnetic moment comes out at 0.0 μB per formula unit.



Density functional theory data (PBE-GGA) for a relaxed structure of Pm4NO3.

The structure belongs to space group Pm-3m (No. 221); the cell edges are 5.0237, 5.0237 and 5.0237 Å and the angles 90.00°, 90.00° and 90.00°. The asymmetric unit holds Pm at (0.0000, 0.0000, 0.0000), Pm at (0.0000, 0.5000, 0.5000), N at (0.5000, 0.5000, 0.5000) and O at (0.0000, 0.0000, 0.5000).

Its density of states at the Fermi level is 0.30 states/eV/atom. The value obtained for the formation energy (no corrections) is -2473.2 meV per atom. The value obtained for the energy is -7.75 eV per atom. The total magnetic moment comes out at 0.0 μB per formula unit.



Density functional theory data (PBE-GGA) for a relaxed structure of PmN2O.

The structure belongs to space group P6_3/mmc (No. 194); the cell edges are 4.4026, 4.4026 and 6.2744 Å and the angles 90.00°, 90.00° and 120.00°. The asymmetric unit holds Pm at (0.3333, 0.6667, 0.2500), N at (0.3333, 0.6667, 0.6556) and O at (0.0000, 0.0000, 0.2500).

Its density of states at the Fermi level is 0.24 states/eV/atom. The value obtained for the formation energy (no corrections) is -949.7 meV per atom. The value obtained for the energy is -7.54 eV per atom. The total magnetic moment comes out at 0.0 μB per formula unit.



Density functional theory data (PBE-GGA) for a relaxed structure of Pm6Sn2NO.

The structure belongs to space group Fm-3m (No. 225); the cell edges are 9.8901, 9.8901 and 9.8901 Å and the angles 90.00°, 90.00° and 90.00°. The asymmetric unit holds Pm at (0.0000, 0.0000, 0.2481), Sn at (0.2500, 0.2500, 0.2500), N at (0.0000, 0.0000, 0.0000) and O at (0.0000, 0.0000, 0.5000).

Its density of states at the Fermi level is 0.57 states/eV/atom. The value obtained for the formation energy (no corrections) is -1247.5 meV per atom. The value obtained for the energy is -6.23 eV per atom. The total magnetic moment comes out at 0.0 μB per formula unit.



Density functional theory data (PBE-GGA) for a relaxed structure of SrPmNO.

The structure belongs to space group R3m (No. 160, hexagonal axes); the cell edges are 3.6433, 3.6433 and 18.0746 Å and the angles 90.00°, 90.00° and 120.00°. The asymmetric unit holds Sr at (0.0000, 0.0000, 0.0000), Pm at (0.0000, 0.0000, 0.4963), N at (0.0000, 0.0000, 0.7625) and O at (0.0000, 0.0000, 0.2478).

Its density of states at the Fermi level is 0.00 states/eV/atom. The value obtained for the formation energy (no corrections) is -2023.3 meV per atom. The value obtained for the energy is -6.95 eV per atom. The total magnetic moment comes out at 0.0 μB per formula unit.



Density functional theory data (PBE-GGA) for a relaxed structure of TbPmNO.

The structure belongs to space group Imm2 (No. 44); the cell edges are 3.2134, 3.2186 and 11.9716 Å and the angles 90.00°, 90.00° and 90.00°. The asymmetric unit holds Tb at (0.0000, 0.0000, 0.0000), Pm at (0.0000, 0.5000, 0.7569), N at (0.0000, 0.0000, 0.4139) and O at (0.0000, 0.5000, 0.1560).

Its density of states at the Fermi level is 0.42 states/eV/atom. The value obtained for the formation energy (no corrections) is -1840.2 meV per atom. The value obtained for the energy is -7.51 eV per atom. The total magnetic moment comes out at 0.0 μB per formula unit.



Density functional theory data (PBE-GGA) for a relaxed structure of Pm6Tl2NO.

The structure belongs to space group Fm-3m (No. 225); the cell edges are 9.9351, 9.9351 and 9.9351 Å and the angles 90.00°, 90.00° and 90.00°. The asymmetric unit holds Pm at (0.0000, 0.0000, 0.2477), Tl at (0.2500, 0.2500, 0.2500), N at (0.0000, 0.0000, 0.0000) and O at (0.0000, 0.0000, 0.5000).

Its density of states at the Fermi level is 0.28 states/eV/atom. The value obtained for the formation energy (no corrections) is -1122.8 meV per atom. The value obtained for the energy is -5.77 eV per atom. The total magnetic moment comes out at 0.0 μB per formula unit.



Density functional theory data (PBE-GGA) for a relaxed structure of PmZnNO.

The structure belongs to space group P6_3mc (No. 186); the cell edges are 3.5657, 3.5657 and 10.7266 Å and the angles 90.00°, 90.00° and 120.00°. The asymmetric unit holds Pm at (0.3333, 0.6667, 0.0000), Zn at (0.0000, 0.0000, 0.2859), N at (0.3333, 0.6667, 0.3633) and O at (0.0000, 0.0000, 0.1021).

Its density of states at the Fermi level is 0.00 states/eV/atom. The value obtained for the formation energy (no corrections) is -1554.3 meV per atom. The value obtained for the energy is -6.38 eV per atom. The total magnetic moment comes out at 0.0 μB per formula unit.



Density functional theory data (PBE-GGA) for a relaxed structure of Pr8N4O3.

The structure belongs to space group C2/m (No. 12); the cell edges are 10.3419, 10.3838 and 7.3208 Å and the angles 90.00°, 134.72° and 90.00°. The asymmetric unit holds Pr at (0.0000, 0.2438, 0.0000), Pr at (0.0000, 0.2468, 0.5000), Pr at (0.2395, 0.0000, 0.4839), Pr at (0.2447, 0.0000, 0.9967), N at (0.0000, 0.0000, 0.0000), N at (0.0000, 0.0000, 0.5000), N at (0.2500, 0.2500, 0.0000), O at (0.0000, 0.5000, 0.5000) and O at (0.2500, 0.2500, 0.5000).

Its density of states at the Fermi level is 0.45 states/eV/atom. The value obtained for the formation energy (no corrections) is -1816.2 meV per atom. The value obtained for the energy is -7.58 eV per atom. The total magnetic moment comes out at 0.0 μB per formula unit.



Density functional theory data (PBE-GGA) for a relaxed structure of Pr3NO3.

The structure belongs to space group C2/m (No. 12); the cell edges are 12.4136, 7.2766 and 7.4002 Å and the angles 90.00°, 126.59° and 90.00°. The asymmetric unit holds Pr at (0.0018, 0.0000, 0.2518), Pr at (0.2500, 0.2498, 0.2415), N at (0.2394, 0.0000, 0.9899), O at (0.0000, 0.2093, 0.0000), O at (0.0000, 0.2091, 0.5000) and O at (0.2431, 0.0000, 0.4924).

The value obtained for the formation energy (no corrections) is -2475.9 meV per atom. The value obtained for the energy is -7.84 eV per atom. The total magnetic moment comes out at 0.0 μB per formula unit.



Density functional theory data (PBE-GGA) for a relaxed structure of Pr2NO.

The structure belongs to space group P-3m1 (No. 164); the cell edges are 3.5782, 3.5782 and 6.1582 Å and the angles 90.00°, 90.00° and 120.00°. The asymmetric unit holds Pr at (0.3333, 0.6667, 0.2417), N at (0.0000, 0.0000, 0.0000) and O at (0.0000, 0.0000, 0.5000).

Its density of states at the Fermi level is 0.41 states/eV/atom. The value obtained for the formation energy (no corrections) is -2017.6 meV per atom. The value obtained for the energy is -7.73 eV per atom. The total magnetic moment comes out at 0.0 μB per formula unit.



Density functional theory data (PBE-GGA) for a relaxed structure of Pr8N2O.

The structure belongs to space group C2/m (No. 12); the cell edges are 12.7424, 7.4876 and 6.3625 Å and the angles 90.00°, 108.29° and 90.00°. The asymmetric unit holds Pr at (0.1279, 0.0000, 0.2582), Pr at (0.1313, 0.2384, 0.7615), Pr at (0.1307, 0.5000, 0.2198), N at (0.2491, 0.0000, 0.0101) and O at (0.0000, 0.0000, 0.5000).

Its density of states at the Fermi level is 1.09 states/eV/atom. The value obtained for the formation energy (no corrections) is -901.9 meV per atom. The value obtained for the energy is -6.34 eV per atom. The total magnetic moment comes out at 1.4 μB per formula unit.



Density functional theory data (PBE-GGA) for a relaxed structure of Pr8N3O5.

The structure belongs to space group R-3m (No. 166, hexagonal axes); the cell edges are 7.2685, 7.2685 and 17.8723 Å and the angles 90.00°, 90.00° and 120.00°. The asymmetric unit holds Pr at (0.0000, 0.0000, 0.2474), Pr at (0.0045, 0.5022, 0.7521), N at (0.0000, 0.5000, 0.5000), O at (0.0000, 0.0000, 0.0000), O at (0.0000, 0.0000, 0.5000) and O at (0.0000, 0.5000, 0.0000).

Its density of states at the Fermi level is 0.49 states/eV/atom. The value obtained for the formation energy (no corrections) is -2248.9 meV per atom. The value obtained for the energy is -7.75 eV per atom. The total magnetic moment comes out at 0.0 μB per formula unit.



Density functional theory data (PBE-GGA) for a relaxed structure of Pr2NO.

The structure belongs to space group C2/c (No. 15); the cell edges are 7.2855, 14.6227 and 6.3103 Å and the angles 90.00°, 125.19° and 90.00°. The asymmetric unit holds Pr at (0.2416, 0.0624, 0.2429), Pr at (0.2461, 0.1874, 0.7423), N at (0.0000, 0.0609, 0.7500), N at (0.0000, 0.1860, 0.2500), O at (0.0000, 0.3099, 0.7500) and O at (0.0000, 0.4349, 0.2500).

Its density of states at the Fermi level is 0.25 states/eV/atom. The value obtained for the formation energy (no corrections) is -2092.0 meV per atom. The value obtained for the energy is -7.80 eV per atom. The total magnetic moment comes out at 0.0 μB per formula unit.



Density functional theory data (PBE-GGA) for a relaxed structure of Pr3NO2.

The structure belongs to space group Pnma (No. 62); the cell edges are 7.2686, 5.1273 and 10.9219 Å and the angles 90.00°, 90.00° and 90.00°. The asymmetric unit holds Pr at (0.1222, 0.2500, 0.0808), Pr at (0.1248, 0.2500, 0.7509), Pr at (0.1284, 0.2500, 0.4193), N at (0.1272, 0.7500, 0.0816), O at (0.1244, 0.7500, 0.4162) and O at (0.1253, 0.7500, 0.7531).

Its density of states at the Fermi level is 0.30 states/eV/atom. The value obtained for the formation energy (no corrections) is -2297.6 meV per atom. The value obtained for the energy is -7.73 eV per atom. The total magnetic moment comes out at 0.0 μB per formula unit.



Density functional theory data (PBE-GGA) for a relaxed structure of Pr3NO2.

The structure belongs to space group Immm (No. 71); the cell edges are 3.6202, 5.1254 and 10.9771 Å and the angles 90.00°, 90.00° and 90.00°. The asymmetric unit holds Pr at (0.0000, 0.0000, 0.0000), Pr at (0.0000, 0.0000, 0.3383), N at (0.0000, 0.5000, 0.0000) and O at (0.0000, 0.5000, 0.3355).

Its density of states at the Fermi level is 0.31 states/eV/atom. The value obtained for the formation energy (no corrections) is -2306.1 meV per atom. The value obtained for the energy is -7.74 eV per atom. The total magnetic moment comes out at 0.0 μB per formula unit.



Density functional theory data (PBE-GGA) for a relaxed structure of Pr2NO.

The structure belongs to space group R3m (No. 160, hexagonal axes); the cell edges are 3.5732, 3.5732 and 18.8127 Å and the angles 90.00°, 90.00° and 120.00°. The asymmetric unit holds Pr at (0.0000, 0.0000, 0.0000), Pr at (0.0000, 0.0000, 0.1778), N at (0.0000, 0.0000, 0.5897) and O at (0.0000, 0.0000, 0.4202).

Its density of states at the Fermi level is 0.40 states/eV/atom. The value obtained for the formation energy (no corrections) is -1959.6 meV per atom. The value obtained for the energy is -7.67 eV per atom. The total magnetic moment comes out at 0.0 μB per formula unit.



Density functional theory data (PBE-GGA) for a relaxed structure of Pr2NO.

The structure belongs to space group R-3m (No. 166, hexagonal axes); the cell edges are 3.6358, 3.6358 and 18.0031 Å and the angles 90.00°, 90.00° and 120.00°. The asymmetric unit holds Pr at (0.0000, 0.0000, 0.2472), N at (0.0000, 0.0000, 0.5000) and O at (0.0000, 0.0000, 0.0000).

Its density of states at the Fermi level is 0.28 states/eV/atom. The value obtained for the formation energy (no corrections) is -2096.1 meV per atom. The value obtained for the energy is -7.81 eV per atom. The total magnetic moment comes out at 0.0 μB per formula unit.